[1]
A plane-wave DFT calculation with PBE-GGA was carried out for a relaxed ZrTa2NbN crystal.

The structure in POSCAR format:
```
ZrTa2NbN
1.0
4.320 0.000 0.000
0.000 4.320 0.000
0.000 0.000 4.428
Zr Ta Nb N
1 2 1 1
Direct
0.000 0.000 0.000
0.000 0.500 0.500
0.500 0.000 0.500
0.500 0.500 0.000
0.500 0.500 0.500
```

Computed properties:
Relative energy among the computed polymorphs   32 meV/atom
E_form (uncorrected)   -467 meV per atom
Final energy   -52.99 eV per cell

***

[2]
A plane-wave DFT calculation with PBE-GGA was carried out for a relaxed ZrTa2NbN crystal.

The structure in POSCAR format:
```
ZrTa2NbN
1.0
4.235 0.000 0.000
0.000 4.235 0.000
0.000 0.000 4.652
Zr Ta Nb N
1 2 1 1
Direct
0.000 0.000 0.000
0.000 0.500 0.500
0.500 0.000 0.500
0.500 0.500 0.000
0.000 0.000 0.500
```

Computed properties:
Relative energy among the computed polymorphs   0 meV/atom
E_form (uncorrected)   -500 meV per atom
Final energy   -53.15 eV per cell

***

[3]
A plane-wave DFT calculation with PBE-GGA was carried out for a relaxed Tb5NbN6 crystal.

The structure in POSCAR format:
```
Tb5NbN6
1.0
2.964 -5.125 0.000
2.964 5.125 0.000
-1.978 0.000 5.575
Tb Nb N
5 1 6
Direct
0.000 0.000 0.000
0.167 0.833 0.500
0.334 0.666 0.000
0.666 0.334 0.000
0.833 0.167 0.500
0.500 0.500 0.500
0.108 0.421 0.264
0.265 0.265 0.740
0.421 0.108 0.264
0.579 0.892 0.736
0.735 0.735 0.260
0.892 0.579 0.736
```

Computed properties:
E_form (uncorrected)   -1550 meV per atom
Final energy   -101.77 eV per cell

***

[4]
A plane-wave DFT calculation with PBE-GGA was carried out for a relaxed TbNbN crystal.

The structure in POSCAR format:
```
TbNbN
1.0
3.342 0.000 0.000
0.000 4.265 0.000
0.000 0.000 7.687
Tb Nb N
2 2 2
Direct
0.250 0.250 0.165
0.750 0.750 0.835
0.250 0.250 0.577
0.750 0.750 0.423
0.250 0.750 0.617
0.750 0.250 0.383
```

Computed properties:
E_form (uncorrected)   -843 meV per atom
Final energy   -51.11 eV per cell

***

[5]
A plane-wave DFT calculation with PBE-GGA was carried out for a relaxed Tb4NbN5 crystal.

The structure in POSCAR format:
```
Tb4NbN5
1.0
-3.799 3.799 2.445
3.799 -3.799 2.445
3.799 3.799 -2.445
Tb Nb N
4 1 5
Direct
0.102 0.300 0.402
0.300 0.898 0.199
0.700 0.102 0.801
0.898 0.700 0.598
0.534 0.534 0.000
0.222 0.599 0.812
0.410 0.222 0.623
0.599 0.787 0.377
0.787 0.410 0.188
0.955 0.955 0.000
```

Computed properties:
E_form (uncorrected)   -1506 meV per atom
Final energy   -85.27 eV per cell

***

[6]
A plane-wave DFT calculation with PBE-GGA was carried out for a relaxed TbNb3N6 crystal.

The structure in POSCAR format:
```
TbNb3N6
1.0
8.599 0.000 0.000
0.000 3.196 0.000
-2.709 0.000 8.532
Tb Nb N
2 6 12
Direct
0.079 0.250 0.197
0.921 0.750 0.803
0.163 0.250 0.588
0.319 0.750 0.994
0.491 0.250 0.328
0.509 0.750 0.672
0.681 0.250 0.006
0.837 0.750 0.412
0.074 0.750 0.406
0.137 0.250 0.949
0.250 0.750 0.725
0.307 0.750 0.232
0.385 0.250 0.530
0.473 0.250 0.095
0.527 0.750 0.905
0.615 0.750 0.470
0.693 0.250 0.768
0.750 0.250 0.275
0.863 0.750 0.051
0.926 0.250 0.594
```

Computed properties:
E_form (uncorrected)   -935 meV per atom
Final energy   -188.29 eV per cell

***

- Look up the E_form (uncorrected) of the sixth one.
  -935 meV per atom

***

- Which of these has the lowest E_form (uncorrected)?
  Tb5NbN6